Entry from OQMD: a relaxed structure of Cs2KPtOF5 (PBE-GGA).

Results
Crystal system: tetragonal
Electronic total energy, eV per cell: -86.22
Total magnetization, μB/f.u.: 0.00

abc: 6.3320 6.3320 8.9745
angles: 90.00 90.00 90.00
Closest atoms and distances in Å follow each position.
Space group I4mm (No. 107)
Inequivalent atoms, fractional coordinates:
Cs 0.0000 0.5000 0.0000 [4 per cell]  10 F 3.17-3.19, 2 O 3.18
K 0.0000 0.0000 0.2382 [2 per cell]  1 O 2.40, 5 F 2.50
Pt 0.0000 0.0000 0.7541 [2 per cell]  1 O 1.94, 5 F 1.98-2.12
O 0.0000 0.0000 0.9704 [2 per cell]  1 Pt 1.94
F 0.0000 0.0000 0.5173 [2 per cell]  1 Pt 2.12
F 0.2207 0.2207 0.7523 [8 per cell]  1 Pt 1.98